Entry 1:
Density functional theory data (PBE) for TcPdO3 after structural relaxation.

Geometry as extended XYZ:
```
5
Lattice="3.839 0.000 0.000 0.000 3.839 0.000 0.000 0.000 3.856" Properties=species:S:1:pos:R:3 pbc="T T T"
Tc 0.000 0.000 0.000
Pd 1.920 1.920 1.824
O 0.000 0.000 1.955
O 0.000 1.920 0.018
O 1.920 0.000 0.018
```

SG   P4mm, No. 99
Uncorrected energy   -33.5 eV per cell



Entry 2:
Density functional theory data (PBE) for TcPdO3 after structural relaxation.

Geometry as extended XYZ:
```
10
Lattice="2.611 1.507 4.672 -2.611 1.507 4.672 0.000 -3.015 4.672" Properties=species:S:1:pos:R:3 pbc="T T T"
Tc 0.000 0.000 0.000
Tc 0.000 0.000 7.007
Pd 0.000 0.000 3.504
Pd 0.000 0.000 10.511
O -1.547 0.336 5.840
O -1.064 -1.172 8.175
O 0.483 -1.507 5.840
O -0.483 1.507 8.175
O 1.064 1.172 5.840
O 1.547 -0.336 8.175
```

SG   R-3c, No. 167
Uncorrected energy   -67.7 eV per cell



Entry 3:
Density functional theory data (PBE) for Tc2Pd2O5 after structural relaxation.

Geometry as extended XYZ:
```
9
Lattice="3.292 0.000 0.000 0.000 3.292 0.000 0.000 0.000 9.689" Properties=species:S:1:pos:R:3 pbc="T T T"
Tc 0.000 0.000 0.000
Tc 0.000 0.000 4.844
Pd 1.646 1.646 2.114
Pd 1.646 1.646 7.575
O 0.000 1.646 3.655
O 0.000 1.646 6.034
O 1.646 0.000 3.655
O 1.646 0.000 6.034
O 1.646 1.646 0.000
```

SG   P4/mmm, No. 123
Polymorph energy (0 for the lowest one)   27.5 kJ/mol of atoms



Entry 4:
Density functional theory data (PBE) for TePdO3 after structural relaxation.

Geometry as extended XYZ:
```
20
Lattice="4.944 0.000 0.000 0.000 9.466 0.000 -4.801 0.000 6.038" Properties=species:S:1:pos:R:3 pbc="T T T"
Te -1.340 1.910 2.403
Te -3.740 2.822 5.422
Te 3.883 6.643 0.616
Te 1.482 7.555 3.635
Pd 1.283 0.000 0.978
Pd -1.118 4.732 3.997
Pd -1.140 9.465 5.060
Pd 1.260 4.733 2.041
O -0.078 1.487 0.966
O -2.479 3.245 3.985
O -2.822 1.105 5.481
O -0.421 3.628 2.462
O -2.074 5.977 5.273
O 0.326 8.222 2.254
O -0.184 1.244 3.784
O 2.217 3.489 0.765
O 0.563 5.838 3.576
O 2.964 8.361 0.557
O 2.621 6.220 2.054
O 0.221 7.978 5.073
```

SG   P2_1/c, No. 14
Uncorrected energy   -105.6 eV per cell



Entry 5:
Density functional theory data (PBE) for Te2PdO4 after structural relaxation.

Geometry as extended XYZ:
```
14
Lattice="0.000 4.813 4.813 4.813 0.000 4.813 4.813 4.813 0.000" Properties=species:S:1:pos:R:3 pbc="T T T"
Te 0.000 0.000 0.000
Te 2.406 2.406 0.000
Te 2.406 0.000 2.406
Te 0.000 2.406 2.406
Pd 3.610 3.610 3.610
Pd 6.016 6.016 6.016
O 7.355 4.677 4.677
O 2.271 2.271 2.271
O 4.948 4.948 2.271
O 4.948 2.271 4.948
O 4.677 7.355 4.677
O 4.677 4.677 7.355
O 7.355 7.355 7.355
O 2.271 4.948 4.948
```

SG   Fd-3m, No. 227
Uncorrected energy   -65.9 eV per cell



Entry 6:
Density functional theory data (PBE) for TePd2O after structural relaxation.

Geometry as extended XYZ:
```
8
Lattice="1.855 -6.490 0.000 1.855 6.490 0.000 0.000 0.000 5.599" Properties=species:S:1:pos:R:3 pbc="T T T"
Te 1.855 4.629 2.800
Te 1.855 -4.629 0.000
Pd 1.855 3.730 0.011
Pd 1.855 0.002 1.387
Pd 1.855 -0.002 4.186
Pd 1.855 -3.730 2.810
O 1.855 1.474 2.789
O 1.855 -1.474 5.588
```

SG   Cmc2_1, No. 36
Uncorrected energy   -38.9 eV per cell



Entry 7:
Density functional theory data (PBE) for Tm2TePdO6 after structural relaxation.

Geometry as extended XYZ:
```
20
Lattice="5.268 0.000 0.000 0.000 5.507 0.000 -4.742 0.000 9.252" Properties=species:S:1:pos:R:3 pbc="T T T"
Tm -0.085 0.381 2.262
Tm -2.456 2.373 6.888
Tm 2.982 3.135 2.364
Tm 0.611 5.127 6.990
Te 2.634 0.000 0.000
Te 0.263 2.754 4.626
Pd -2.371 0.000 4.626
Pd 0.000 2.754 0.000
O -3.749 1.160 8.455
O -1.378 1.593 3.829
O -3.281 3.880 8.293
O -0.910 4.381 3.667
O -1.265 0.590 7.407
O 1.106 2.164 2.781
O -0.580 3.344 6.472
O 1.791 4.917 1.845
O 1.437 1.126 5.585
O 3.808 1.627 0.959
O 1.905 3.914 5.423
O 4.275 4.347 0.797
```

SG   P2_1/c, No. 14
Uncorrected energy   -136.1 eV per cell



Entry 8:
Density functional theory data (PBE) for ZnTePdO after structural relaxation.

Geometry as extended XYZ:
```
8
Lattice="3.888 0.000 0.000 0.000 3.888 0.000 0.000 0.000 9.317" Properties=species:S:1:pos:R:3 pbc="T T T"
Zn 0.972 0.972 0.527
Zn 2.916 2.916 8.791
Te 0.972 0.972 6.118
Te 2.916 2.916 3.199
Pd 0.972 0.972 3.416
Pd 2.916 2.916 5.902
O 0.972 2.916 0.000
O 2.916 0.972 0.000
```

SG   P4/nmm, No. 129
Polymorph energy (0 for the lowest one)   0.0 kJ/mol of atoms



Entry 9:
Density functional theory data (PBE) for ZnTePdO after structural relaxation.

Geometry as extended XYZ:
```
16
Lattice="6.255 0.000 0.000 0.000 8.478 0.000 0.000 0.000 5.068" Properties=species:S:1:pos:R:3 pbc="T T T"
Zn 1.006 0.449 0.000
Zn 2.121 0.449 2.534
Zn 4.134 8.028 0.000
Zn 5.249 8.028 2.534
Te 0.396 5.521 3.649
Te 2.732 5.521 1.115
Te 3.523 2.957 3.649
Te 5.859 2.957 1.115
Pd 0.848 2.750 3.619
Pd 2.280 2.750 1.085
Pd 3.975 5.727 3.619
Pd 5.407 5.727 1.085
O 0.725 7.898 3.437
O 2.402 7.898 0.903
O 3.853 0.580 3.437
O 5.530 0.580 0.903
```

SG   Pca2_1, No. 29
Polymorph energy (0 for the lowest one)   1.1 kJ/mol of atoms



Entry 10:
Density functional theory data (PBE) for ZnTePdO after structural relaxation.

Geometry as extended XYZ:
```
8
Lattice="4.511 0.000 0.000 0.000 4.511 0.000 0.000 0.000 7.901" Properties=species:S:1:pos:R:3 pbc="T T T"
Zn 1.128 1.128 1.380
Zn 3.383 3.383 6.521
Te 1.128 3.383 3.950
Te 3.383 1.128 3.950
Pd 1.128 1.128 5.495
Pd 3.383 3.383 2.406
O 1.128 1.128 7.481
O 3.383 3.383 0.420
```

SG   P4/nmm, No. 129
Polymorph energy (0 for the lowest one)   57.5 kJ/mol of atoms